Density functional theory data (PBE) for an optimized crystal structure of NiBr.

Calculated values
**ρ**: 5.30 g cm⁻³
**Raw formation energy**: -0.0152 eV/atom
**Energy**: -29.94 eV per cell
**Symmetry**: No. 8
**Total magnetic moment**: 1.02 μB per formula unit

Cell and atoms, written as POSCAR:
```
NiBr
1.0
7.118 0.000 -0.002
0.000 3.752 0.000
-0.035 0.000 6.509
Ni Br
4 4
Direct
0.929 0.000 0.687
0.929 0.500 0.187
0.740 0.000 0.353
0.740 0.500 0.853
0.088 0.000 0.021
0.088 0.500 0.521
0.584 0.000 0.685
0.584 0.500 0.185
```

---

Density functional theory data (PBE) for an optimized crystal structure of AgSb2Os.

Calculated values
**ρ**: 10.32 g cm⁻³
**Raw formation energy**: 0.3450 eV/atom
**Energy**: -20.95 eV per cell
**Symmetry**: No. 44
**Relative energy among the computed polymorphs**: 26 meV/atom
**Total magnetic moment**: 0.00 μB per formula unit

Cell and atoms, written as POSCAR:
```
AgSb2Os
1.0
7.065 0.006 -0.002
5.096 4.893 0.002
-5.798 -3.151 2.523
Sb Os Ag
2 1 1
Direct
0.058 0.058 0.000
0.780 0.280 0.500
0.224 0.724 0.500
0.437 0.437 0.000
```

---

Density functional theory data (PBE) for an optimized crystal structure of YGa3Br6.

Calculated values
**ρ**: 3.79 g cm⁻³
**Raw formation energy**: -1.0695 eV/atom
**Energy**: -72.55 eV per cell
**Symmetry**: No. 14
**Total magnetic moment**: 0.00 μB per formula unit

Cell and atoms, written as POSCAR:
```
YGa3Br6
1.0
7.403 0.000 -0.338
0.000 8.389 0.000
-0.031 0.000 10.977
Y Ga Br
2 6 12
Direct
0.500 0.500 0.500
0.000 0.000 0.000
0.482 0.094 0.795
0.500 0.500 0.000
0.518 0.906 0.205
0.982 0.406 0.295
0.000 0.000 0.500
0.018 0.594 0.705
0.319 0.831 0.957
0.332 0.777 0.585
0.358 0.566 0.263
0.642 0.434 0.737
0.668 0.223 0.415
0.681 0.169 0.043
0.819 0.669 0.457
0.832 0.723 0.085
0.858 0.934 0.763
0.142 0.066 0.237
0.168 0.277 0.915
0.181 0.331 0.543
```

---

Density functional theory data (PBE) for an optimized crystal structure of NaSiSn3.

Calculated values
**ρ**: 4.50 g cm⁻³
**Raw formation energy**: 0.3253 eV/atom
**Energy**: -17.12 eV per cell
**Symmetry**: No. 221
**Relative energy among the computed polymorphs**: 0 meV/atom
**Total magnetic moment**: 0.00 μB per formula unit

Cell and atoms, written as POSCAR:
```
NaSiSn3
1.0
5.317 0.000 0.000
0.000 5.317 0.000
0.000 0.000 5.317
Na Si Sn
1 1 3
Direct
0.500 0.500 0.500
0.000 0.000 0.000
0.000 0.500 0.000
0.000 0.000 0.500
0.500 0.000 0.000
```